#w
Density functional theory data (PBEsol) for crystalline MgAs3P at its relaxed geometry.

a = 4.757 Å, b = 4.757 Å, c = 4.757 Å
α = 90.00°, β = 90.00°, γ = 90.00°
Sites, in units of the cell vectors:
1 Mg 0.000 0.000 0.000
2 As 0.000 0.500 0.500
3 As 0.500 0.000 0.500
4 As 0.500 0.500 0.000
5 P 0.500 0.500 0.500

Computed properties:
D(E_F) = 3.5 states/eV/cell



#x
Density functional theory data (PBEsol) for crystalline MgAs3P at its relaxed geometry.

a = 4.829 Å, b = 4.829 Å, c = 4.829 Å
α = 90.00°, β = 90.00°, γ = 90.00°
Sites, in units of the cell vectors:
1 Mg 0.000 0.000 0.000
2 As 0.000 0.000 0.500
3 As 0.000 0.500 0.000
4 As 0.500 0.000 0.000
5 P 0.500 0.500 0.500

Computed properties:
D(E_F) = 4.8 states/eV/cell



Most stable: #w. Least stable: #x.



#w
Density functional theory data (PBEsol) for crystalline MgAs2P at its relaxed geometry.

a = 4.574 Å, b = 4.574 Å, c = 3.392 Å
α = 90.00°, β = 90.00°, γ = 100.44°
Sites, in units of the cell vectors:
1 Mg 0.000 0.000 0.000
2 As 0.000 0.500 0.500
3 As 0.500 0.000 0.500
4 P 0.500 0.500 0.000

Computed properties:
D(E_F) = 1.9 states/eV/cell



#x
Density functional theory data (PBEsol) for crystalline MgAs2P at its relaxed geometry.

a = 7.095 Å, b = 7.095 Å, c = 7.095 Å
α = 131.82°, β = 131.82°, γ = 70.51°
Sites, in units of the cell vectors:
1 Mg 0.000 0.000 0.000
2 Mg 0.750 0.250 0.500
3 As 0.159 0.625 0.034
4 As 0.375 0.409 0.534
5 As 0.591 0.125 0.966
6 As 0.875 0.841 0.466
7 P 0.250 0.750 0.500
8 P 0.500 0.500 0.000

Computed properties:
D(E_F) = 7.6 states/eV/cell



#y
Density functional theory data (PBEsol) for crystalline MgAs2P at its relaxed geometry.

a = 5.426 Å, b = 5.426 Å, c = 5.426 Å
α = 143.50°, β = 131.25°, γ = 62.40°
Sites, in units of the cell vectors:
1 Mg 0.000 0.000 0.000
2 As 0.291 0.791 0.500
3 As 0.709 0.209 0.500
4 P 0.500 0.500 0.000

Computed properties:
D(E_F) = 1.1 states/eV/cell



Most stable: #y. Least stable: #w.



#w
Density functional theory data (PBEsol) for crystalline Mg2AsP at its relaxed geometry.

a = 7.505 Å, b = 7.505 Å, c = 7.505 Å
α = 26.80°, β = 26.80°, γ = 26.80°
Sites, in units of the cell vectors:
1 Mg 0.243 0.243 0.243
2 Mg 0.757 0.757 0.757
3 As 0.000 0.000 0.000
4 P 0.500 0.500 0.500

Computed properties:
D(E_F) = 1.5 states/eV/cell



#x
Density functional theory data (PBEsol) for crystalline Mg2AsP at its relaxed geometry.

a = 3.806 Å, b = 3.806 Å, c = 5.374 Å
α = 90.00°, β = 90.00°, γ = 90.00°
Sites, in units of the cell vectors:
1 Mg 0.000 0.000 0.000
2 Mg 0.500 0.500 0.491
3 As 0.500 0.500 0.991
4 P 0.000 0.000 0.499

Computed properties:
D(E_F) = 2.9 states/eV/cell



Most stable: #w. Least stable: #x.



#w
Density functional theory data (PBEsol) for crystalline RbMgAs2 at its relaxed geometry.

a = 9.475 Å, b = 9.475 Å, c = 9.475 Å
α = 146.42°, β = 146.42°, γ = 48.22°
Sites, in units of the cell vectors:
1 Rb 0.375 0.625 0.750
2 Rb 0.625 0.375 0.250
3 Mg 0.125 0.875 0.250
4 Mg 0.875 0.125 0.750
5 As 0.000 0.000 0.000
6 As 0.000 0.000 0.500
7 As 0.000 0.500 0.000
8 As 0.500 0.000 0.500

Computed properties:
D(E_F) = 2.1 states/eV/cell



#x
Density functional theory data (PBEsol) for crystalline RbMgAs2 at its relaxed geometry.

a = 5.125 Å, b = 5.125 Å, c = 5.125 Å
α = 60.00°, β = 60.00°, γ = 60.00°
Sites, in units of the cell vectors:
1 Rb 0.000 0.000 0.000
2 Mg 0.500 0.500 0.500
3 As 0.250 0.250 0.250
4 As 0.750 0.750 0.750

Computed properties:
D(E_F) = 2.1 states/eV/cell



Most stable: #w. Least stable: #x.